one:
A plane-wave DFT calculation with PBE-GGA was carried out for PrYIr after structural relaxation.

Results
calculated density = 7.3 g cm⁻³
V = 31.92 A^3/atom

CIF file:
```
data_PrYIr
_cell_length_a 4.1873
_cell_length_b 4.1873
_cell_length_c 6.3074
_cell_angle_alpha 90.00
_cell_angle_beta 90.00
_cell_angle_gamma 120.00
_symmetry_space_group_name_H-M 'P 3 m 1'
_symmetry_Int_Tables_number 156
loop_
_symmetry_equiv_pos_as_xyz
'x,y,z'
'-y,x-y,z'
'-x+y,-x,z'
'-y,-x,z'
'-x+y,y,z'
'x,x-y,z'
loop_
_atom_site_label
_atom_site_fract_x
_atom_site_fract_y
_atom_site_fract_z
Pr1 0.0000 0.0000 0.0000
Y1 0.6667 0.3333 0.4587
Ir1 0.3333 0.6667 0.2409
```

=====

two:
A plane-wave DFT calculation with PBE-GGA was carried out for PrYIr after structural relaxation.

Results
calculated density = 8.5 g cm⁻³
V = 27.44 A^3/atom

CIF file:
```
data_PrYIr
_cell_length_a 3.5412
_cell_length_b 3.5412
_cell_length_c 13.1279
_cell_angle_alpha 90.00
_cell_angle_beta 90.00
_cell_angle_gamma 90.00
_symmetry_space_group_name_H-M 'I 4 m m'
_symmetry_Int_Tables_number 107
_symmetry_space_group_name_Hall 'I 4 -2'
loop_
_atom_site_label
_atom_site_fract_x
_atom_site_fract_y
_atom_site_fract_z
Pr1 0.0000 0.0000 0.0000
Y1 0.0000 0.0000 0.2527
Ir1 0.0000 0.0000 0.6342
```

=====

Most stable structure: one